Entry 1:
CeThCd: relaxed, PBE.

Results
Final energy = -4.671 eV per atom
Density of states at the Fermi level = 5.9 states/eV per cell
Offset from the most stable computed form = 0.34 eV/f.u.
Symmetry = P-6m2, No. 187
Calculated formation energy = 0.0852 eV per atom

abc: 3.130 5.431 5.431
angles: 120.00 90.00 90.00
Site moments in Bohr magnetons follow the coordinates.
Positions (direct):
Th 0.167 0.333 0.667  0.02
Cd 0.666 0.667 0.333  0.00
Ce 0.166 0.000 0.000  0.46

Entry 2:
Ce2ThCd: relaxed, PBE.

Results
Final energy = -5.114 eV per atom
Density of states at the Fermi level = 9.9 states/eV per cell
Offset from the most stable computed form = 0.00 eV/f.u.
Symmetry = P4/mmm, No. 123
Calculated formation energy = -0.0635 eV per atom

abc: 3.502 3.502 9.288
angles: 90.00 90.00 90.00
Site moments in Bohr magnetons follow the coordinates.
Positions (direct):
Ce 0.000 0.000 0.757  0.48
Th 0.500 0.500 0.500  0.00
Cd 0.500 0.500 0.000  0.01
Ce 0.000 0.000 0.243  0.48

Entry 3:
Ce2ThCd: relaxed, PBE.

Results
Final energy = -5.047 eV per atom
Density of states at the Fermi level = 10.9 states/eV per cell
Offset from the most stable computed form = 0.27 eV/f.u.
Symmetry = P4/mmm, No. 123
Calculated formation energy = 0.0034 eV per atom

abc: 4.989 4.760 4.760
angles: 90.00 90.00 90.00
Site moments in Bohr magnetons follow the coordinates.
Positions (direct):
Cd 0.500 0.500 0.500  0.00
Ce 0.000 0.500 0.000  0.61
Th 0.500 0.000 0.000  0.08
Ce 0.000 0.000 0.500  0.61

Among the records above, which one has the lowest final energy? number 2